Record 1
# CePrNiOs, relaxed, DFT PBE-GGA
# E_form, eV/atom: -0.10
# Electronic total energy, eV/atom: -7.0281
data_CePrNiOs
_chemical_formula_sum 'Ce4 Pr4 Ni4 Os4'
_cell_length_a 6.985
_cell_length_b 6.985
_cell_length_c 6.985
_cell_angle_alpha 90.00
_cell_angle_beta 90.00
_cell_angle_gamma 90.00
_space_group_name_H-M_alt 'F -4 3 m'
_space_group_IT_number 216
_space_group_name_Hall 'F -4 2 3'
loop_
_atom_site_label
_atom_site_type_symbol
_atom_site_fract_x
_atom_site_fract_y
_atom_site_fract_z
Ce1 Ce 0.000 0.000 0.000
Pr1 Pr 0.000 0.000 0.500
Ni1 Ni 0.250 0.250 0.250
Os1 Os 0.250 0.250 0.750


Record 2
# CeSi2NiOs2, relaxed, DFT PBE-GGA
# Uncorrected formation energy, kJ/mol of atoms: -9
# Electronic total energy, eV/atom: -7.6008
data_CeSi2NiOs2
_chemical_formula_sum 'Ce1 Si2 Ni1 Os2'
_cell_length_a 4.386
_cell_length_b 4.386
_cell_length_c 5.232
_cell_angle_alpha 90.00
_cell_angle_beta 90.00
_cell_angle_gamma 90.00
_space_group_name_H-M_alt 'P 4/m m m'
_space_group_IT_number 123
_space_group_name_Hall '-P 4 2'
loop_
_atom_site_label
_atom_site_type_symbol
_atom_site_fract_x
_atom_site_fract_y
_atom_site_fract_z
Ce1 Ce 0.000 0.000 0.000
Si1 Si 0.000 0.500 0.500
Ni1 Ni 0.000 0.000 0.500
Os1 Os 0.500 0.500 0.236


Record 3
# CeSi2NiOs, relaxed, DFT PBE-GGA
# Uncorrected formation energy, kJ/mol of atoms: -70
# Electronic total energy, eV/atom: -7.4875
data_CeSi2NiOs
_chemical_formula_sum 'Ce2 Si4 Ni2 Os2'
_cell_length_a 4.018
_cell_length_b 4.018
_cell_length_c 10.128
_cell_angle_alpha 90.00
_cell_angle_beta 90.00
_cell_angle_gamma 90.00
_space_group_name_H-M_alt 'I -4 m 2'
_space_group_IT_number 119
_space_group_name_Hall 'I -4 -2'
loop_
_atom_site_label
_atom_site_type_symbol
_atom_site_fract_x
_atom_site_fract_y
_atom_site_fract_z
Ce1 Ce 0.000 0.000 0.000
Si1 Si 0.000 0.000 0.376
Ni1 Ni 0.000 0.500 0.750
Os1 Os 0.000 0.500 0.250


Record 4
# TbCeNiOs, relaxed, DFT PBE-GGA
# E_form, eV/atom: -0.24
# Electronic total energy, eV/atom: -7.1302
data_TbCeNiOs
_chemical_formula_sum 'Tb4 Ce4 Ni4 Os4'
_cell_length_a 6.861
_cell_length_b 6.861
_cell_length_c 6.861
_cell_angle_alpha 90.00
_cell_angle_beta 90.00
_cell_angle_gamma 90.00
_space_group_name_H-M_alt 'F -4 3 m'
_space_group_IT_number 216
_space_group_name_Hall 'F -4 2 3'
loop_
_atom_site_label
_atom_site_type_symbol
_atom_site_fract_x
_atom_site_fract_y
_atom_site_fract_z
Tb1 Tb 0.000 0.000 0.000
Ce1 Ce 0.000 0.000 0.500
Ni1 Ni 0.250 0.250 0.250
Os1 Os 0.250 0.250 0.750


Record 5
# CeTmNiOs, relaxed, DFT PBE-GGA
# E_form, eV/atom: -0.29
# Electronic total energy, eV/atom: -7.1466
data_CeTmNiOs
_chemical_formula_sum 'Ce4 Tm4 Ni4 Os4'
_cell_length_a 6.801
_cell_length_b 6.801
_cell_length_c 6.801
_cell_angle_alpha 90.00
_cell_angle_beta 90.00
_cell_angle_gamma 90.00
_space_group_name_H-M_alt 'F -4 3 m'
_space_group_IT_number 216
_space_group_name_Hall 'F -4 2 3'
loop_
_atom_site_label
_atom_site_type_symbol
_atom_site_fract_x
_atom_site_fract_y
_atom_site_fract_z
Ce1 Ce 0.000 0.000 0.000
Tm1 Tm 0.000 0.000 0.500
Ni1 Ni 0.250 0.250 0.750
Os1 Os 0.250 0.250 0.250


Record 6
# CeYNiOs, relaxed, DFT PBE-GGA
# E_form, eV/atom: -0.24
# Electronic total energy, eV/atom: -7.5873
data_CeYNiOs
_chemical_formula_sum 'Ce4 Y4 Ni4 Os4'
_cell_length_a 6.857
_cell_length_b 6.857
_cell_length_c 6.857
_cell_angle_alpha 90.00
_cell_angle_beta 90.00
_cell_angle_gamma 90.00
_space_group_name_H-M_alt 'F -4 3 m'
_space_group_IT_number 216
_space_group_name_Hall 'F -4 2 3'
loop_
_atom_site_label
_atom_site_type_symbol
_atom_site_fract_x
_atom_site_fract_y
_atom_site_fract_z
Ce1 Ce 0.000 0.000 0.000
Y1 Y 0.000 0.000 0.500
Ni1 Ni 0.250 0.250 0.250
Os1 Os 0.250 0.250 0.750


Record 7
# Ce2ZnNi5Os2, relaxed, DFT PBE-GGA
# E_form, eV/atom: -0.07
# Electronic total energy, eV/atom: -6.5253
data_Ce2ZnNi5Os2
_chemical_formula_sum 'Ce4 Zn2 Ni10 Os4'
_cell_length_a 9.061
_cell_length_b 9.061
_cell_length_c 3.833
_cell_angle_alpha 90.00
_cell_angle_beta 90.00
_cell_angle_gamma 90.00
_space_group_name_H-M_alt 'P 4/m b m'
_space_group_IT_number 127
_space_group_name_Hall '-P 4 2ab'
loop_
_atom_site_label
_atom_site_type_symbol
_atom_site_fract_x
_atom_site_fract_y
_atom_site_fract_z
Ce1 Ce 0.175 0.325 0.000
Zn1 Zn 0.000 0.000 0.000
Ni1 Ni 0.000 0.500 0.500
Ni2 Ni 0.058 0.806 0.500
Os1 Os 0.129 0.629 0.000


Record 8
# Ce2Ni6P3, relaxed, DFT PBE-GGA
# E_form, eV/atom: -0.81
# Electronic total energy, eV/atom: -6.5158
data_Ce2Ni6P3
_chemical_formula_sum 'Ce2 Ni6 P3'
_cell_length_a 6.8762
_cell_length_b 6.8762
_cell_length_c 3.9337
_cell_angle_alpha 90.00
_cell_angle_beta 90.00
_cell_angle_gamma 120.00
_space_group_name_H-M_alt 'P -6 2 m'
_space_group_IT_number 189
_space_group_name_Hall 'P -6 -2'
loop_
_atom_site_label
_atom_site_type_symbol
_atom_site_fract_x
_atom_site_fract_y
_atom_site_fract_z
Ce1 Ce 0.3333 0.6667 0.0000
Ni1 Ni 0.0000 0.3077 0.5000
Ni2 Ni 0.0000 0.7989 0.0000
P1 P 0.0000 0.6433 0.5000